# 1
## InP2W (PBE)

Data for a relaxed structure of InP2W.

Unit cell a=4.568 b=4.568 c=4.568 alpha=60.00 beta=60.00 gamma=60.00
Fractional coordinates of all 4 atoms:
In (0.500, 0.500, 0.500)
P (0.250, 0.250, 0.250)
W (0.750, 0.750, 0.750)
P (0.000, 0.000, 0.000)

Properties
The density is 8.88 Mg/m³. For the total energy, the calculation gives -5.66 eV/atom. For the total magnetization, the calculation gives 0.000 μB/cell.

***

# 2
## In4PW (PBE)

Data for a relaxed structure of In4PW.

Unit cell a=5.694 b=5.694 c=5.694 alpha=60.00 beta=60.00 gamma=60.00
Fractional coordinates of all 6 atoms:
In (0.875, 0.375, 0.375)
P (0.750, 0.750, 0.750)
In (0.375, 0.375, 0.875)
W (0.000, 0.000, 0.000)
In (0.375, 0.875, 0.375)
In (0.375, 0.375, 0.375)

Properties
The density is 8.57 Mg/m³. For the total energy, the calculation gives -3.86 eV/atom. For the total magnetization, the calculation gives 0.000 μB/cell.

***

# 3
## InP2W (PBE)

Data for a relaxed structure of InP2W.

Unit cell a=6.039 b=6.039 c=6.039 alpha=151.41 beta=130.33 gamma=58.32
Fractional coordinates of all 4 atoms:
In (0.250, 0.750, 0.500)
P (0.932, 0.932, 0.000)
P (0.568, 0.568, 0.000)
W (0.750, 0.250, 0.500)

Properties
The density is 7.50 Mg/m³. For the total energy, the calculation gives -6.24 eV/atom. For the total magnetization, the calculation gives 0.000 μB/cell.

***

# 4
## InP2W (PBE)

Data for a relaxed structure of InP2W.

Unit cell a=8.493 b=8.493 c=8.493 alpha=22.11 beta=22.11 gamma=22.11
Fractional coordinates of all 4 atoms:
In (0.750, 0.750, 0.750)
P (0.519, 0.519, 0.519)
W (0.250, 0.250, 0.250)
P (0.981, 0.981, 0.981)

Properties
The density is 7.87 Mg/m³. For the total energy, the calculation gives -6.64 eV/atom. For the total magnetization, the calculation gives 0.000 μB/cell.

***

# 5
## InP2W (PBE)

Data for a relaxed structure of InP2W.

Unit cell a=2.968 b=2.968 c=9.329 alpha=90.00 beta=90.00 gamma=111.86
Fractional coordinates of all 4 atoms:
W (0.500, 0.500, 0.250)
P (0.000, 0.000, 0.443)
In (0.500, 0.500, 0.750)
P (0.000, 0.000, 0.057)

Properties
The density is 7.85 Mg/m³. For the total energy, the calculation gives -6.34 eV/atom. For the total magnetization, the calculation gives 0.000 μB/cell.

***

# 6
## InP2W (PBE)

Data for a relaxed structure of InP2W.

Unit cell a=3.163 b=3.163 c=6.992 alpha=90.00 beta=90.00 gamma=90.00
Fractional coordinates of all 4 atoms:
In (0.500, 0.500, 0.727)
P (0.500, 0.500, 0.273)
P (0.000, 0.000, 0.074)
W (0.000, 0.000, 0.426)

Properties
The density is 8.56 Mg/m³. For the total energy, the calculation gives -6.38 eV/atom. For the total magnetization, the calculation gives 0.000 μB/cell.

***

# 7
## InP2W (PBE)

Data for a relaxed structure of InP2W.

Unit cell a=4.596 b=3.366 c=4.831 alpha=86.92 beta=90.00 gamma=90.00
Fractional coordinates of all 4 atoms:
P (0.000, 0.013, 0.100)
W (0.500, 0.250, 0.250)
In (0.500, 0.750, 0.750)
P (0.000, 0.487, 0.400)

Properties
The density is 8.03 Mg/m³. For the total energy, the calculation gives -6.21 eV/atom. For the total magnetization, the calculation gives 0.000 μB/cell.

***

# 8
## InP4W (PBE)

Data for a relaxed structure of InP4W.

Unit cell a=5.129 b=5.129 c=5.129 alpha=60.00 beta=60.00 gamma=60.00
Fractional coordinates of all 6 atoms:
P (0.139, 0.620, 0.620)
In (0.000, 0.000, 0.000)
P (0.620, 0.139, 0.620)
W (0.250, 0.250, 0.250)
P (0.620, 0.620, 0.139)
P (0.620, 0.620, 0.620)

Properties
The density is 7.36 Mg/m³. For the total energy, the calculation gives -5.31 eV/atom. For the total magnetization, the calculation gives 0.000 μB/cell.